KZrFe2 after structural relaxation. Source: Alexandria via LeMat-Bulk, functional GGA-PBE.

E_form = 1.020 eV/atom
N(E_F) = 7.83 states/eV per cell

Cell: 5.261 5.252 2.929 Å, 90.00 90.00 90.00°
Positions (direct):
K1 0.500 0.000 0.500
Zr1 0.000 0.500 0.500
Fe1 0.000 0.000 0.000
Fe2 0.500 0.500 0.000